Entry 1:
! PBE-GGA TbCe2CrN5, relaxed; values from VASP
! - Volume: 248.16 Å³/cell
! - Energy: -156.058 eV per cell
&SYSTEM
  ibrav = 0, nat = 18, ntyp = 4
/
ATOMIC_SPECIES
Tb 158.93 Tb.upf
Ce 140.12 Ce.upf
Cr 52.00 Cr.upf
N 14.01 N.upf
CELL_PARAMETERS angstrom
-3.0510 -1.2033 -0.9230
4.4052 -2.4694 -5.0542
1.6883 -8.6521 5.6988
ATOMIC_POSITIONS crystal
Tb 0.7996 0.5992 0.5032
Tb 0.2004 0.4008 0.0032
Ce 0.8546 0.7092 0.7966
Ce 0.1215 0.2431 0.6980
Ce 0.1454 0.2908 0.2966
Ce 0.8785 0.7569 0.1980
Cr 0.4970 0.9940 0.9690
Cr 0.5030 0.0060 0.4690
N 0.3692 0.7385 0.0126
N 0.6907 0.3814 0.8472
N 0.4856 0.9712 0.8012
N 0.2883 0.5766 0.6643
N 0.9707 0.9413 0.5318
N 0.6308 0.2615 0.5127
N 0.3093 0.6186 0.3472
N 0.5144 0.0288 0.3012
N 0.7117 0.4234 0.1643
N 0.0293 0.0587 0.0318

Entry 2:
! PBE-GGA Dy2BeNi2, relaxed; values from VASP
! - Energy of formation from the pure elements: -351 meV/atom
! - Volume: 173.03 Å³/cell
&SYSTEM
  ibrav = 0, nat = 10, ntyp = 3
/
ATOMIC_SPECIES
Dy 162.50 Dy.upf
Be 9.01 Be.upf
Ni 58.69 Ni.upf
CELL_PARAMETERS angstrom
-5.0147 -1.1108 1.0848
-1.9083 -4.6535 -1.5036
0.6858 -3.9060 6.1691
ATOMIC_POSITIONS crystal
Dy 0.4787 0.2174 0.1507
Dy 0.7826 0.5213 0.3493
Dy 0.5213 0.7826 0.8493
Dy 0.2174 0.4787 0.6507
Be 0.1228 0.8772 0.2500
Be 0.8772 0.1228 0.7500
Ni 0.7493 0.0015 0.5037
Ni 0.9985 0.2507 0.9963
Ni 0.2507 0.9985 0.4963
Ni 0.0015 0.7493 0.0037